No. 1
# PBE-GGA PmZnGa2, optimized geometry
# - relative energy among the computed polymorphs (eV/atom) = 0.0000
# - crystal system = orthorhombic
# - total energy (eV per atom) = -3.554
# - space group = Pnma (62)
data_PmZnGa2
_chemical_formula_sum 'Pm8 Zn8 Ga16'
_space_group_name_H-M_alt 'P 1'
_space_group_IT_number 1
_cell_length_a 4.2345
_cell_length_b 10.9830
_cell_length_c 14.0696
_cell_angle_alpha 90.00
_cell_angle_beta 90.00
_cell_angle_gamma 90.00
loop_
_space_group_symop_operation_xyz
'x,y,z'
loop_
_atom_site_label
_atom_site_type_symbol
_atom_site_fract_x
_atom_site_fract_y
_atom_site_fract_z
_atom_site_occupancy
Pm1 Pm 0.7500 0.4660 0.7028 1
Pm2 Pm 0.2500 0.9660 0.7972 1
Pm3 Pm 0.2500 0.5340 0.2972 1
Pm4 Pm 0.7500 0.0340 0.2028 1
Pm5 Pm 0.7500 0.2519 0.9530 1
Pm6 Pm 0.2500 0.7519 0.5470 1
Pm7 Pm 0.2500 0.7481 0.0470 1
Pm8 Pm 0.7500 0.2481 0.4530 1
Zn1 Zn 0.7500 0.5477 0.9457 1
Zn2 Zn 0.2500 0.0477 0.5543 1
Zn3 Zn 0.2500 0.4523 0.0543 1
Zn4 Zn 0.7500 0.9523 0.4457 1
Zn5 Zn 0.7500 0.3309 0.2089 1
Zn6 Zn 0.2500 0.8309 0.2911 1
Zn7 Zn 0.2500 0.6691 0.7911 1
Zn8 Zn 0.7500 0.1691 0.7089 1
Ga1 Ga 0.7500 0.9642 0.9659 1
Ga2 Ga 0.2500 0.4642 0.5341 1
Ga3 Ga 0.2500 0.0358 0.0341 1
Ga4 Ga 0.7500 0.5358 0.4659 1
Ga5 Ga 0.7500 0.7648 0.8826 1
Ga6 Ga 0.2500 0.2648 0.6174 1
Ga7 Ga 0.2500 0.2352 0.1174 1
Ga8 Ga 0.7500 0.7352 0.3826 1
Ga9 Ga 0.7500 0.7497 0.7035 1
Ga10 Ga 0.2500 0.2497 0.7965 1
Ga11 Ga 0.2500 0.2503 0.2965 1
Ga12 Ga 0.7500 0.7503 0.2035 1
Ga13 Ga 0.7500 0.9569 0.6310 1
Ga14 Ga 0.2500 0.4569 0.8690 1
Ga15 Ga 0.2500 0.0431 0.3690 1
Ga16 Ga 0.7500 0.5431 0.1310 1

No. 2
# PBE-GGA Mg2Co2H7, optimized geometry
# - crystal system = monoclinic
# - total energy (eV per atom) = -3.760
# - space group = C2/m (12)
data_Mg2Co2H7
_chemical_formula_sum 'Mg2 Co2 H7'
_space_group_name_H-M_alt 'P 1'
_space_group_IT_number 1
_cell_length_a 4.1687
_cell_length_b 4.2943
_cell_length_c 4.2943
_cell_angle_alpha 85.50
_cell_angle_beta 89.89
_cell_angle_gamma 89.89
loop_
_space_group_symop_operation_xyz
'x,y,z'
loop_
_atom_site_label
_atom_site_type_symbol
_atom_site_fract_x
_atom_site_fract_y
_atom_site_fract_z
_atom_site_occupancy
Mg1 Mg 0.5000 0.2393 0.7607 1
Mg2 Mg 0.5000 0.7607 0.2393 1
Co1 Co 0.0008 0.2671 0.2671 1
Co2 Co 0.9992 0.7329 0.7329 1
H1 H 0.2071 0.0000 0.5004 1
H2 H 0.7929 0.4996 0.0000 1
H3 H 0.7929 0.0000 0.4996 1
H4 H 0.2071 0.5004 0.0000 1
H5 H 0.0000 0.0000 0.0000 1
H6 H 0.8009 0.5002 0.5002 1
H7 H 0.1991 0.4998 0.4998 1

No. 3
# PBE-GGA TiBSI2, optimized geometry
# - crystal system = tetragonal
# - energy relative to the elements, uncorrected (kJ per mole of atoms) = 113
# - total energy (eV per atom) = -3.190
# - space group = P4/mmm (123)
data_TiBSI2
_chemical_formula_sum 'Ti1 B1 S1 I2'
_space_group_name_H-M_alt 'P 1'
_space_group_IT_number 1
_cell_length_a 6.2833
_cell_length_b 4.4360
_cell_length_c 6.2833
_cell_angle_alpha 90.00
_cell_angle_beta 90.00
_cell_angle_gamma 90.00
loop_
_space_group_symop_operation_xyz
'x,y,z'
loop_
_atom_site_label
_atom_site_type_symbol
_atom_site_fract_x
_atom_site_fract_y
_atom_site_fract_z
_atom_site_occupancy
I1 I 0.0000 0.0000 0.5000 1
I2 I 0.5000 0.0000 0.0000 1
S1 S 0.0000 0.0000 0.0000 1
B1 B 0.5000 0.5000 0.5000 1
Ti1 Ti 0.0000 0.5000 0.0000 1

No. 4
# PBE-GGA AlBH2, optimized geometry
# - relative energy among the computed polymorphs (eV/atom) = 0.0283
# - crystal system = monoclinic
# - total energy (eV per atom) = -4.192
# - space group = C2/c (15)
data_AlBH2
_chemical_formula_sum 'Al4 B4 H8'
_space_group_name_H-M_alt 'P 1'
_space_group_IT_number 1
_cell_length_a 4.8855
_cell_length_b 13.3847
_cell_length_c 4.1957
_cell_angle_alpha 90.00
_cell_angle_beta 144.37
_cell_angle_gamma 90.00
loop_
_space_group_symop_operation_xyz
'x,y,z'
loop_
_atom_site_label
_atom_site_type_symbol
_atom_site_fract_x
_atom_site_fract_y
_atom_site_fract_z
_atom_site_occupancy
Al1 Al 0.7500 0.7072 0.7500 1
Al2 Al 0.2500 0.2928 0.2500 1
Al3 Al 0.7500 0.2072 0.2500 1
Al4 Al 0.2500 0.7928 0.7500 1
B1 B 0.7500 0.5383 0.7500 1
B2 B 0.2500 0.4617 0.2500 1
B3 B 0.7500 0.0383 0.2500 1
B4 B 0.2500 0.9617 0.7500 1
H1 H 0.7763 0.0909 0.0286 1
H2 H 0.7237 0.0909 0.4714 1
H3 H 0.2237 0.9091 0.9714 1
H4 H 0.2763 0.9091 0.5286 1
H5 H 0.7763 0.5909 0.5286 1
H6 H 0.7237 0.5909 0.9714 1
H7 H 0.2237 0.4091 0.4714 1
H8 H 0.2763 0.4091 0.0286 1

No. 5
# PBE-GGA SrSeBr2, optimized geometry
# - relative energy among the computed polymorphs (eV/atom) = 0.3652
# - crystal system = monoclinic
# - energy relative to the elements, uncorrected (kJ per mole of atoms) = -92
# - total energy (eV per atom) = -3.080
# - space group = P2/m (10)
data_SrSeBr2
_chemical_formula_sum 'Sr1 Se1 Br2'
_space_group_name_H-M_alt 'P 1'
_space_group_IT_number 1
_cell_length_a 4.4909
_cell_length_b 5.7700
_cell_length_c 5.8042
_cell_angle_alpha 75.59
_cell_angle_beta 90.00
_cell_angle_gamma 90.00
loop_
_space_group_symop_operation_xyz
'x,y,z'
loop_
_atom_site_label
_atom_site_type_symbol
_atom_site_fract_x
_atom_site_fract_y
_atom_site_fract_z
_atom_site_occupancy
Br1 Br 0.0000 0.9708 0.9717 1
Br2 Br 0.0000 0.5292 0.5283 1
Se1 Se 0.5000 0.2500 0.2500 1
Sr1 Sr 0.5000 0.7500 0.7500 1

No. 6
# PBE-GGA KPCl2F, optimized geometry
# - relative energy among the computed polymorphs (eV/atom) = 1.0588
# - crystal system = tetragonal
# - energy relative to the elements, uncorrected (kJ per mole of atoms) = 33
# - total energy (eV per atom) = -2.074
# - space group = P4/mmm (123)
data_KPCl2F
_chemical_formula_sum 'K1 P1 Cl2 F1'
_space_group_name_H-M_alt 'P 1'
_space_group_IT_number 1
_cell_length_a 5.8820
_cell_length_b 5.8820
_cell_length_c 7.7638
_cell_angle_alpha 90.00
_cell_angle_beta 90.00
_cell_angle_gamma 90.00
loop_
_space_group_symop_operation_xyz
'x,y,z'
loop_
_atom_site_label
_atom_site_type_symbol
_atom_site_fract_x
_atom_site_fract_y
_atom_site_fract_z
_atom_site_occupancy
P1 P 0.0000 0.0000 0.5000 1
K1 K 0.0000 0.0000 0.0000 1
F1 F 0.5000 0.5000 0.5000 1
Cl1 Cl 0.0000 0.5000 0.0000 1
Cl2 Cl 0.5000 0.0000 0.0000 1

no.,theoretical density (kg/m3)
1,7103
2,3760
3,3267
4,1654
5,3721
6,989